Record 1
The following is a DFT calculation (PBE-GGA) of Mn2ReAu after structural relaxation.

**Calculated density**: 14.49 g/cm³
**Energy above the lowest structure with this stoichiometry**: 10.4 kJ/mol of atoms
**Energy relative to the elements**: 233 meV per atom
**Volume**: 14.12 Å³ per atom

The structure in CIF format:
```
data_Mn2ReAu
_chemical_formula_sum 'Mn4 Re2 Au2'
_space_group_name_H-M_alt 'I 4/m m m'
_space_group_IT_number 139
_space_group_name_Hall '-I 4 2'
_cell_length_a 3.935
_cell_length_b 3.935
_cell_length_c 7.297
_cell_angle_alpha 90.00
_cell_angle_beta 90.00
_cell_angle_gamma 90.00
loop_
_atom_site_label
_atom_site_type_symbol
_atom_site_fract_x
_atom_site_fract_y
_atom_site_fract_z
Mn1 Mn 0.000 0.500 0.250
Re1 Re 0.000 0.000 0.000
Au1 Au 0.000 0.000 0.500
```



Record 2
The following is a DFT calculation (PBE-GGA) of MnReAu2 after structural relaxation.

**Calculated density**: 14.78 g/cm³
**Energy above the lowest structure with this stoichiometry**: 63.8 kJ/mol of atoms
**Energy relative to the elements**: 862 meV per atom
**Volume**: 17.84 Å³ per atom

The structure in CIF format:
```
data_MnReAu2
_chemical_formula_sum 'Mn4 Re4 Au8'
_space_group_name_H-M_alt 'I -4 2 d'
_space_group_IT_number 122
_space_group_name_Hall 'I -4 2bw'
_cell_length_a 7.298
_cell_length_b 7.298
_cell_length_c 5.358
_cell_angle_alpha 90.00
_cell_angle_beta 90.00
_cell_angle_gamma 90.00
loop_
_atom_site_label
_atom_site_type_symbol
_atom_site_fract_x
_atom_site_fract_y
_atom_site_fract_z
Mn1 Mn 0.000 0.000 0.000
Re1 Re 0.000 0.000 0.500
Au1 Au 0.249 0.250 0.125
```



Record 3
The following is a DFT calculation (PBE-GGA) of Mn2ReAu after structural relaxation.

**Calculated density**: 14.10 g/cm³
**Energy above the lowest structure with this stoichiometry**: 13.6 kJ/mol of atoms
**Energy relative to the elements**: 267 meV per atom
**Volume**: 14.51 Å³ per atom

The structure in CIF format:
```
data_Mn2ReAu
_chemical_formula_sum 'Mn4 Re2 Au2'
_space_group_name_H-M_alt 'C m m m'
_space_group_IT_number 65
_space_group_name_Hall '-C 2 2'
_cell_length_a 5.656
_cell_length_b 7.215
_cell_length_c 2.846
_cell_angle_alpha 90.00
_cell_angle_beta 90.00
_cell_angle_gamma 90.00
loop_
_atom_site_label
_atom_site_type_symbol
_atom_site_fract_x
_atom_site_fract_y
_atom_site_fract_z
Mn1 Mn 0.250 0.250 0.000
Re1 Re 0.000 0.000 0.500
Au1 Au 0.000 0.500 0.500
```



Record 4
The following is a DFT calculation (PBE-GGA) of MnRe2Au after structural relaxation.

**Calculated density**: 16.75 g/cm³
**Energy above the lowest structure with this stoichiometry**: 10.4 kJ/mol of atoms
**Energy relative to the elements**: 309 meV per atom
**Volume**: 15.48 Å³ per atom

The structure in CIF format:
```
data_MnRe2Au
_chemical_formula_sum 'Mn2 Re4 Au2'
_space_group_name_H-M_alt 'C m m 2'
_space_group_IT_number 35
_cell_length_a 3.061
_cell_length_b 4.490
_cell_length_c 9.007
_cell_angle_alpha 90.00
_cell_angle_beta 90.00
_cell_angle_gamma 90.00
loop_
_space_group_symop_operation_xyz
'x,y,z'
'-x,-y,z'
'-x,y,z'
'x,-y,z'
'x+1/2,y+1/2,z'
'-x+1/2,-y+1/2,z'
'-x+1/2,y+1/2,z'
'x+1/2,-y+1/2,z'
loop_
_atom_site_label
_atom_site_type_symbol
_atom_site_fract_x
_atom_site_fract_y
_atom_site_fract_z
Mn1 Mn 0.000 0.000 0.000
Re1 Re 0.000 0.000 0.529
Re2 Re 0.000 0.500 0.770
Au1 Au 0.000 0.500 0.251
```



Record 5
The following is a DFT calculation (PBE-GGA) of MnReAu2 after structural relaxation.

**Calculated density**: 16.23 g/cm³
**Energy above the lowest structure with this stoichiometry**: 18.9 kJ/mol of atoms
**Energy relative to the elements**: 396 meV per atom
**Volume**: 16.24 Å³ per atom

The structure in CIF format:
```
data_MnReAu2
_chemical_formula_sum 'Mn2 Re2 Au4'
_space_group_name_H-M_alt 'I m m 2'
_space_group_IT_number 44
_cell_length_a 2.874
_cell_length_b 4.760
_cell_length_c 9.495
_cell_angle_alpha 90.00
_cell_angle_beta 90.00
_cell_angle_gamma 90.00
loop_
_space_group_symop_operation_xyz
'x,y,z'
'-x,-y,z'
'-x,y,z'
'x,-y,z'
'x+1/2,y+1/2,z+1/2'
'-x+1/2,-y+1/2,z+1/2'
'-x+1/2,y+1/2,z+1/2'
'x+1/2,-y+1/2,z+1/2'
loop_
_atom_site_label
_atom_site_type_symbol
_atom_site_fract_x
_atom_site_fract_y
_atom_site_fract_z
Mn1 Mn 0.000 0.000 0.000
Re1 Re 0.000 0.500 0.711
Au1 Au 0.000 0.000 0.480
Au2 Au 0.000 0.500 0.254
```



Record 6
The following is a DFT calculation (PBE-GGA) of Mn2ReAu after structural relaxation.

**Calculated density**: 15.09 g/cm³
**Energy above the lowest structure with this stoichiometry**: 31.2 kJ/mol of atoms
**Energy relative to the elements**: 449 meV per atom
**Volume**: 13.57 Å³ per atom

The structure in CIF format:
```
data_Mn2ReAu
_chemical_formula_sum 'Mn8 Re4 Au4'
_space_group_name_H-M_alt 'F m -3 m'
_space_group_IT_number 225
_space_group_name_Hall '-F 4 2 3'
_cell_length_a 6.010
_cell_length_b 6.010
_cell_length_c 6.010
_cell_angle_alpha 90.00
_cell_angle_beta 90.00
_cell_angle_gamma 90.00
loop_
_atom_site_label
_atom_site_type_symbol
_atom_site_fract_x
_atom_site_fract_y
_atom_site_fract_z
Mn1 Mn 0.250 0.250 0.250
Re1 Re 0.000 0.000 0.000
Au1 Au 0.000 0.000 0.500
```



Record 7
The following is a DFT calculation (PBE-GGA) of MnReAu2 after structural relaxation.

**Calculated density**: 16.22 g/cm³
**Energy above the lowest structure with this stoichiometry**: 18.7 kJ/mol of atoms
**Energy relative to the elements**: 395 meV per atom
**Volume**: 16.25 Å³ per atom

The structure in CIF format:
```
data_MnReAu2
_chemical_formula_sum 'Mn3 Re3 Au6'
_space_group_name_H-M_alt 'R -3 m'
_space_group_IT_number 166
_space_group_name_Hall '-R 3 2"'
_cell_length_a 2.8639
_cell_length_b 2.8639
_cell_length_c 27.4574
_cell_angle_alpha 90.00
_cell_angle_beta 90.00
_cell_angle_gamma 120.00
loop_
_atom_site_label
_atom_site_type_symbol
_atom_site_fract_x
_atom_site_fract_y
_atom_site_fract_z
Mn1 Mn 0.0000 0.0000 0.0000
Re1 Re 0.0000 0.0000 0.5000
Au1 Au 0.0000 0.0000 0.2518
```



Record 8
The following is a DFT calculation (PBE-GGA) of MnReAu2 after structural relaxation.

**Calculated density**: 16.33 g/cm³
**Energy above the lowest structure with this stoichiometry**: 4.1 kJ/mol of atoms
**Energy relative to the elements**: 243 meV per atom
**Volume**: 16.15 Å³ per atom

The structure in CIF format:
```
data_MnReAu2
_chemical_formula_sum 'Mn2 Re2 Au4'
_space_group_name_H-M_alt 'C m m 2'
_space_group_IT_number 35
_cell_length_a 3.124
_cell_length_b 4.536
_cell_length_c 9.116
_cell_angle_alpha 90.00
_cell_angle_beta 90.00
_cell_angle_gamma 90.00
loop_
_space_group_symop_operation_xyz
'x,y,z'
'-x,-y,z'
'-x,y,z'
'x,-y,z'
'x+1/2,y+1/2,z'
'-x+1/2,-y+1/2,z'
'-x+1/2,y+1/2,z'
'x+1/2,-y+1/2,z'
loop_
_atom_site_label
_atom_site_type_symbol
_atom_site_fract_x
_atom_site_fract_y
_atom_site_fract_z
Mn1 Mn 0.000 0.000 0.000
Re1 Re 0.000 0.500 0.791
Au1 Au 0.000 0.000 0.523
Au2 Au 0.000 0.500 0.245
```



Record 9
The following is a DFT calculation (PBE-GGA) of MnRe2Au after structural relaxation.

**Calculated density**: 16.84 g/cm³
**Energy above the lowest structure with this stoichiometry**: 15.9 kJ/mol of atoms
**Energy relative to the elements**: 365 meV per atom
**Volume**: 15.39 Å³ per atom

The structure in CIF format:
```
data_MnRe2Au
_chemical_formula_sum 'Mn2 Re4 Au2'
_space_group_name_H-M_alt 'I m m m'
_space_group_IT_number 71
_space_group_name_Hall '-I 2 2'
_cell_length_a 2.867
_cell_length_b 4.383
_cell_length_c 9.795
_cell_angle_alpha 90.00
_cell_angle_beta 90.00
_cell_angle_gamma 90.00
loop_
_atom_site_label
_atom_site_type_symbol
_atom_site_fract_x
_atom_site_fract_y
_atom_site_fract_z
Mn1 Mn 0.000 0.000 0.000
Re1 Re 0.000 0.500 0.287
Au1 Au 0.000 0.000 0.500
```



Record 10
The following is a DFT calculation (PBE-GGA) of MnReAu4 after structural relaxation.

**Calculated density**: 15.34 g/cm³
**Energy relative to the elements**: 716 meV per atom
**Volume**: 18.57 Å³ per atom

The structure in CIF format:
```
data_MnReAu4
_chemical_formula_sum 'Mn4 Re4 Au16'
_space_group_name_H-M_alt 'F -4 3 m'
_space_group_IT_number 216
_space_group_name_Hall 'F -4 2 3'
_cell_length_a 7.638
_cell_length_b 7.638
_cell_length_c 7.638
_cell_angle_alpha 90.00
_cell_angle_beta 90.00
_cell_angle_gamma 90.00
loop_
_atom_site_label
_atom_site_type_symbol
_atom_site_fract_x
_atom_site_fract_y
_atom_site_fract_z
Mn1 Mn 0.000 0.000 0.000
Re1 Re 0.250 0.250 0.750
Au1 Au 0.125 0.125 0.375
```



Record 11
The following is a DFT calculation (PBE-GGA) of MnRe2Au after structural relaxation.

**Calculated density**: 17.42 g/cm³
**Energy above the lowest structure with this stoichiometry**: 21.3 kJ/mol of atoms
**Energy relative to the elements**: 422 meV per atom
**Volume**: 14.88 Å³ per atom

The structure in CIF format:
```
data_MnRe2Au
_chemical_formula_sum 'Mn2 Re4 Au2'
_space_group_name_H-M_alt 'C m m m'
_space_group_IT_number 65
_space_group_name_Hall '-C 2 2'
_cell_length_a 5.414
_cell_length_b 8.060
_cell_length_c 2.727
_cell_angle_alpha 90.00
_cell_angle_beta 90.00
_cell_angle_gamma 90.00
loop_
_atom_site_label
_atom_site_type_symbol
_atom_site_fract_x
_atom_site_fract_y
_atom_site_fract_z
Mn1 Mn 0.000 0.000 0.000
Re1 Re 0.250 0.250 0.500
Au1 Au 0.000 0.500 0.000
```



Record 12
The following is a DFT calculation (PBE-GGA) of MnRe2Au after structural relaxation.

**Calculated density**: 17.49 g/cm³
**Energy above the lowest structure with this stoichiometry**: 9.0 kJ/mol of atoms
**Energy relative to the elements**: 294 meV per atom
**Volume**: 14.82 Å³ per atom

The structure in CIF format:
```
data_MnRe2Au
_chemical_formula_sum 'Mn3 Re6 Au3'
_space_group_name_H-M_alt 'R -3 m'
_space_group_IT_number 166
_space_group_name_Hall '-R 3 2"'
_cell_length_a 2.7510
_cell_length_b 2.7510
_cell_length_c 27.1308
_cell_angle_alpha 90.00
_cell_angle_beta 90.00
_cell_angle_gamma 120.00
loop_
_atom_site_label
_atom_site_type_symbol
_atom_site_fract_x
_atom_site_fract_y
_atom_site_fract_z
Mn1 Mn 0.0000 0.0000 0.0000
Re1 Re 0.0000 0.0000 0.2586
Au1 Au 0.0000 0.0000 0.5000
```



What VASP energy values result from the calculations? In sequence: -66.26; -98.90; -66.00; -72.22; -53.17; -129.07; -79.78; -54.40; -71.76; -121.72; -71.31; -108.50 eV/cell.